TbTmCu4: optimized geometry, GGA-PBE.

a b c (Å): 5.242 5.242 5.242
angles (deg): 60.00 60.00 60.00
Positions (direct):
Tm 0.250 0.250 0.250
Tb 0.000 0.000 0.000
Cu 0.625 0.625 0.126
Cu 0.625 0.126 0.625
Cu 0.625 0.625 0.625
Cu 0.126 0.625 0.625

Properties
The polymorph energy (0 for the lowest one) is 94 meV per atom. Its formation energy is -0.186 eV per atom. The calculation puts the total magnetization at 0.00 Bohr magnetons per cell. Its symmetry is F-43m.



TbTm4Cu5: optimized geometry, GGA-PBE.

a b c (Å): 3.408 3.408 17.353
angles (deg): 90.00 90.00 90.00
Positions (direct):
Tb 0.000 0.000 0.000
Tm 0.000 0.000 0.202
Tm 0.000 0.000 0.401
Tm 0.000 0.000 0.599
Tm 0.000 0.000 0.798
Cu 0.500 0.500 0.105
Cu 0.500 0.500 0.301
Cu 0.500 0.500 0.500
Cu 0.500 0.500 0.699
Cu 0.500 0.500 0.895

Properties
Its formation energy is -0.284 eV per atom. The calculation puts the total magnetization at 0.00 Bohr magnetons per cell. Its symmetry is P4/mmm.



Tb4TmCu: optimized geometry, GGA-PBE.

a b c (Å): 3.507 3.507 13.720
angles (deg): 90.00 90.00 90.00
Positions (direct):
Tb 0.500 0.500 0.818
Tb 0.500 0.500 0.182
Tb 0.000 0.000 0.626
Tb 0.000 0.000 0.374
Tm 0.000 0.000 0.000
Cu 0.500 0.500 0.500

Properties
Its formation energy is -0.055 eV per atom. The calculation puts the total magnetization at 0.00 Bohr magnetons per cell. Its symmetry is P4/mmm.



TbTm3Cu4: optimized geometry, GGA-PBE.

a b c (Å): 3.420 4.868 9.733
angles (deg): 90.00 90.00 90.00
Positions (direct):
Tm 0.500 0.000 0.251
Tm 0.500 0.500 0.500
Tm 0.500 0.000 0.749
Tb 0.500 0.500 0.000
Cu 0.000 0.000 0.500
Cu 0.000 0.500 0.745
Cu 0.000 0.000 0.000
Cu 0.000 0.500 0.255

Properties
Its formation energy is -0.277 eV per atom. The calculation puts the total magnetization at 0.00 Bohr magnetons per cell. Its symmetry is Pmmm.



TbTm3Cu: optimized geometry, GGA-PBE.

a b c (Å): 5.297 5.297 5.297
angles (deg): 90.00 90.00 90.00
Positions (direct):
Tm 0.000 0.500 0.000
Tm 0.000 0.000 0.500
Tm 0.500 0.000 0.000
Tb 0.500 0.500 0.500
Cu 0.000 0.000 0.000

Properties
Its formation energy is 0.103 eV per atom. The calculation puts the total magnetization at 0.00 Bohr magnetons per cell. Its symmetry is Pm-3m.



Tb2Tm5Cu4: optimized geometry, GGA-PBE.

a b c (Å): 3.611 6.868 14.254
angles (deg): 127.86 97.28 90.00
Positions (direct):
Tb 0.067 0.801 0.133
Tb 0.933 0.199 0.867
Tm 0.208 0.043 0.417
Tm 0.792 0.957 0.583
Tm 0.173 0.448 0.346
Tm 0.500 0.000 0.000
Tm 0.827 0.552 0.654
Cu 0.634 0.653 0.269
Cu 0.939 0.612 0.877
Cu 0.366 0.347 0.731
Cu 0.061 0.388 0.123

Properties
Its formation energy is 0.050 eV per atom. The calculation puts the total magnetization at 0.00 Bohr magnetons per cell. Its symmetry is C2/m.



- Among the records above, which one has the lowest formation energy?
  TbTm4Cu5



- What is the formula in the second record?
  TbTm4Cu5